# 1
Entry from the Alexandria database: a relaxed structure of Tb8Sm2Sc (PBE).

```
Tb8Sm2Sc
1.0
9.038 -2.507 0.000
9.038 2.507 0.000
-2.098 0.000 7.656
Tb Sm Sc
8 2 1
Direct
0.044 0.044 0.230 Tb
0.134 0.134 0.677 Tb
0.320 0.320 0.591 Tb
0.411 0.411 0.051 Tb
0.589 0.589 0.949 Tb
0.680 0.680 0.409 Tb
0.866 0.866 0.323 Tb
0.956 0.956 0.770 Tb
0.226 0.226 0.136 Sm
0.774 0.774 0.864 Sm
0.500 0.500 0.500 Sc
```

Summary:
DFT formation energy: 0.027 eV/atom
Energy relative to the lowest polymorph listed for this composition: 0.0 kJ/mol of atoms
ρ: 7.740 g/cm³
V: 31.5 Å³/atom

=====

# 2
Entry from the Alexandria database: a relaxed structure of TbSm7Sc4 (PBE).

```
TbSm7Sc4
1.0
6.122 0.000 0.000
0.002 7.063 0.000
2.047 0.003 8.426
Tb Sm Sc
1 7 4
Direct
0.000 0.000 0.000 Tb
0.000 0.500 0.000 Sm
0.224 0.000 0.336 Sm
0.287 0.255 0.660 Sm
0.498 0.743 0.992 Sm
0.502 0.257 0.008 Sm
0.713 0.745 0.340 Sm
0.776 0.000 0.664 Sm
0.214 0.501 0.341 Sc
0.272 0.742 0.663 Sc
0.728 0.258 0.337 Sc
0.786 0.499 0.659 Sc
```

Summary:
DFT formation energy: 0.032 eV/atom
Energy relative to the lowest polymorph listed for this composition: 0.0 kJ/mol of atoms
ρ: 6.342 g/cm³
V: 30.4 Å³/atom

=====

# 3
Entry from the Alexandria database: a relaxed structure of TbSm2Sc7 (PBE).

```
TbSm2Sc7
1.0
3.045 -13.668 0.000
3.045 13.668 0.000
0.000 0.000 3.322
Tb Sm Sc
1 2 7
Direct
0.000 0.000 0.000 Tb
0.290 0.710 0.500 Sm
0.710 0.290 0.500 Sm
0.148 0.344 0.500 Sc
0.181 0.819 0.000 Sc
0.344 0.148 0.500 Sc
0.500 0.500 0.500 Sc
0.656 0.852 0.500 Sc
0.819 0.181 0.000 Sc
0.852 0.656 0.500 Sc
```

Summary:
DFT formation energy: 0.158 eV/atom
ρ: 4.650 g/cm³
V: 27.6 Å³/atom